[1]
An optimized crystal structure of InSi2Sb, computed with PBE.

energy relative to the elements, uncorrected	362	meV per atom

Unit cell a=6.583 b=6.583 c=6.583 alpha=148.19 beta=142.68 gamma=49.83
Positions (direct):
1 In 0.000 0.000 0.000
2 Si 0.592 0.592 0.000
3 Si 0.731 0.231 0.500
4 Sb 0.297 0.797 0.500

=====

[2]
An optimized crystal structure of ThPaGa5Os2, computed with PBE.

energy of formation from the pure elements	-0.191	eV per atom

Unit cell a=4.264 b=4.264 c=9.977 alpha=90.00 beta=90.00 gamma=90.00
Positions (direct):
1 Th 0.000 0.000 0.000
2 Pa 0.000 0.000 0.500
3 Ga 0.000 0.500 0.239
4 Ga 0.000 0.500 0.761
5 Ga 0.500 0.000 0.239
6 Ga 0.500 0.000 0.761
7 Ga 0.500 0.500 0.000
8 Os 0.500 0.500 0.385
9 Os 0.500 0.500 0.615

=====

[3]
An optimized crystal structure of TaInMoAs2, computed with PBE.

energy of formation from the pure elements	2.030	eV per atom

Unit cell a=5.020 b=5.020 c=5.243 alpha=90.00 beta=90.00 gamma=90.00
Positions (direct):
1 Ta 0.000 0.000 0.000
2 In 0.000 0.000 0.500
3 Mo 0.500 0.500 0.000
4 As 0.000 0.500 0.500
5 As 0.500 0.000 0.500

=====

[4]
An optimized crystal structure of Sm12CdIn3, computed with PBE.

energy of formation from the pure elements	-0.229	eV per atom

Unit cell a=4.933 b=4.933 c=19.703 alpha=90.00 beta=90.00 gamma=90.00
Positions (direct):
1 Sm 0.000 0.000 0.000
2 Sm 0.000 0.000 0.248
3 Sm 0.000 0.000 0.500
4 Sm 0.000 0.000 0.752
5 Sm 0.000 0.500 0.125
6 Sm 0.000 0.500 0.375
7 Sm 0.000 0.500 0.625
8 Sm 0.000 0.500 0.875
9 Sm 0.500 0.000 0.125
10 Sm 0.500 0.000 0.375
11 Sm 0.500 0.000 0.625
12 Sm 0.500 0.000 0.875
13 Cd 0.500 0.500 0.000
14 In 0.500 0.500 0.250
15 In 0.500 0.500 0.500
16 In 0.500 0.500 0.750

=====

[5]
An optimized crystal structure of Pr2USe6, computed with PBE.

energy relative to the elements, uncorrected	-1336	meV per atom

Unit cell a=6.790 b=6.790 c=12.942 alpha=90.00 beta=90.00 gamma=90.00
Positions (direct):
1 Pr 0.000 0.000 0.166
2 Pr 0.000 0.000 0.834
3 Pr 0.500 0.500 0.334
4 Pr 0.500 0.500 0.666
5 U 0.000 0.000 0.500
6 U 0.500 0.500 0.000
7 Se 0.190 0.190 0.347
8 Se 0.190 0.190 0.653
9 Se 0.215 0.215 0.000
10 Se 0.285 0.715 0.500
11 Se 0.310 0.690 0.153
12 Se 0.310 0.690 0.847
13 Se 0.690 0.310 0.153
14 Se 0.690 0.310 0.847
15 Se 0.715 0.285 0.500
16 Se 0.785 0.785 0.000
17 Se 0.810 0.810 0.347
18 Se 0.810 0.810 0.653

=====

[6]
An optimized crystal structure of PrPu2Rh2, computed with PBE.

energy of formation from the pure elements	-0.359	eV per atom

Unit cell a=14.172 b=14.172 c=4.053 alpha=90.00 beta=90.00 gamma=163.50
Positions (direct):
1 Pr 0.140 0.860 0.750
2 Pr 0.860 0.140 0.250
3 Pu 0.256 0.744 0.250
4 Pu 0.448 0.552 0.750
5 Pu 0.552 0.448 0.250
6 Pu 0.744 0.256 0.750
7 Rh 0.035 0.965 0.750
8 Rh 0.332 0.668 0.750
9 Rh 0.668 0.332 0.250
10 Rh 0.965 0.035 0.250

=====

[7]
An optimized crystal structure of InMo2As2, computed with PBE.

energy of formation from the pure elements	0.085	eV per atom

Unit cell a=7.382 b=7.382 c=3.203 alpha=90.00 beta=90.00 gamma=90.00
Positions (direct):
1 In 0.000 0.000 0.000
2 In 0.500 0.500 0.000
3 Mo 0.146 0.354 0.000
4 Mo 0.354 0.854 0.000
5 Mo 0.646 0.146 0.000
6 Mo 0.854 0.646 0.000
7 As 0.144 0.644 0.500
8 As 0.356 0.144 0.500
9 As 0.644 0.856 0.500
10 As 0.856 0.356 0.500

=====

[8]
An optimized crystal structure of BaSrTe4, computed with PBE.

energy relative to the elements, uncorrected	-525	meV per atom

Unit cell a=6.721 b=6.721 c=6.721 alpha=60.00 beta=60.00 gamma=60.00
Positions (direct):
1 Ba 0.000 0.000 0.000
2 Sr 0.750 0.750 0.750
3 Te 0.375 0.375 0.375
4 Te 0.375 0.375 0.874
5 Te 0.375 0.874 0.375
6 Te 0.874 0.375 0.375

=====

[9]
An optimized crystal structure of Ti4Zn5Ga, computed with PBE.

energy of formation from the pure elements	-0.217	eV per atom

Unit cell a=7.470 b=7.470 c=5.621 alpha=104.02 beta=104.02 gamma=30.57
Positions (direct):
1 Ti 0.100 0.100 0.290
2 Ti 0.298 0.298 0.899
3 Ti 0.702 0.702 0.101
4 Ti 0.900 0.900 0.710
5 Zn 0.100 0.100 0.788
6 Zn 0.300 0.300 0.406
7 Zn 0.500 0.500 0.500
8 Zn 0.700 0.700 0.594
9 Zn 0.900 0.900 0.212
10 Ga 0.500 0.500 0.000

=====

[10]
An optimized crystal structure of NaScCr2, computed with PBE.

energy of formation from the pure elements	1.181	eV per atom

Unit cell a=10.138 b=10.138 c=10.138 alpha=158.91 beta=158.91 gamma=30.00
Positions (direct):
1 Na 0.000 0.000 0.000
2 Na 0.750 0.250 0.500
3 Sc 0.250 0.750 0.500
4 Sc 0.500 0.500 0.000
5 Cr 0.169 0.125 0.544
6 Cr 0.375 0.831 0.956
7 Cr 0.581 0.625 0.456
8 Cr 0.875 0.419 0.044

=====

[11]
An optimized crystal structure of ScTiSF2, computed with PBE.

energy relative to the elements, uncorrected	-2093	meV per atom

Unit cell a=3.850 b=3.850 c=6.482 alpha=90.00 beta=90.00 gamma=90.00
Positions (direct):
1 Sc 0.000 0.000 0.000
2 Ti 0.000 0.000 0.500
3 S 0.500 0.500 0.500
4 F 0.000 0.500 0.000
5 F 0.500 0.000 0.000

=====

[12]
An optimized crystal structure of Co3Ir3Rh5, computed with PBE.

energy of formation from the pure elements	0.466	eV per atom

Unit cell a=8.308 b=8.308 c=2.658 alpha=90.00 beta=90.00 gamma=120.00
Positions (direct):
1 Co 0.000 0.843 0.000
2 Co 0.157 0.157 0.000
3 Co 0.843 0.000 0.000
4 Ir 0.000 0.597 0.500
5 Ir 0.403 0.403 0.500
6 Ir 0.597 0.000 0.500
7 Rh 0.000 0.331 0.000
8 Rh 0.331 0.000 0.000
9 Rh 0.333 0.667 0.000
10 Rh 0.667 0.333 0.000
11 Rh 0.669 0.669 0.000

=====

[13]
An optimized crystal structure of Na3TaH, computed with PBE.

Unit cell a=4.856 b=4.856 c=4.856 alpha=90.00 beta=90.00 gamma=90.00
Positions (direct):
1 Na 0.000 0.000 0.500
2 Na 0.000 0.500 0.000
3 Na 0.500 0.000 0.000
4 Ta 0.500 0.500 0.500
5 H 0.000 0.000 0.000

=====

[14]
An optimized crystal structure of CsBeHgGe2, computed with PBE.

energy of formation from the pure elements	1.770	eV per atom

Unit cell a=6.989 b=6.989 c=7.569 alpha=90.00 beta=90.00 gamma=90.00
Positions (direct):
1 Cs 0.000 0.000 0.000
2 Be 0.500 0.500 0.500
3 Hg 0.000 0.000 0.500
4 Ge 0.000 0.500 0.000
5 Ge 0.500 0.000 0.000

=====

[15]
An optimized crystal structure of K2InSnS4, computed with PBE.

energy relative to the elements, uncorrected	-775	meV per atom

Unit cell a=7.011 b=7.011 c=7.011 alpha=117.09 beta=117.09 gamma=95.11
Positions (direct):
1 K 0.000 0.000 0.000
2 K 0.750 0.250 0.500
3 In 0.500 0.500 0.000
4 Sn 0.250 0.750 0.500
5 S 0.195 0.133 0.579
6 S 0.384 0.805 0.938
7 S 0.555 0.616 0.421
8 S 0.867 0.445 0.062

=====

[16]
An optimized crystal structure of LaPuGePt, computed with PBE.

energy of formation from the pure elements	-0.658	eV per atom

Unit cell a=5.151 b=5.151 c=5.151 alpha=60.00 beta=60.00 gamma=60.00
Positions (direct):
1 La 0.000 0.000 0.000
2 Pu 0.500 0.500 0.500
3 Ge 0.250 0.250 0.250
4 Pt 0.750 0.750 0.750

=====

[17]
An optimized crystal structure of CaMo2Cl, computed with PBE.

energy relative to the elements, uncorrected	816	meV per atom

Unit cell a=2.876 b=2.876 c=9.418 alpha=90.00 beta=90.00 gamma=108.36
Positions (direct):
1 Ca 0.000 0.000 0.000
2 Mo 0.500 0.500 0.280
3 Mo 0.500 0.500 0.720
4 Cl 0.000 0.000 0.500

=====

[18]
An optimized crystal structure of Cs3In2Au5, computed with PBE.

energy of formation from the pure elements	-0.060	eV per atom

Unit cell a=10.572 b=10.572 c=10.572 alpha=124.28 beta=71.91 gamma=138.35
Positions (direct):
1 Cs 0.117 0.737 0.855
2 Cs 0.250 0.250 0.000
3 Cs 0.383 0.237 0.620
4 Cs 0.617 0.763 0.380
5 Cs 0.750 0.750 0.000
6 Cs 0.883 0.263 0.145
7 In 0.178 0.128 0.306
8 In 0.322 0.628 0.949
9 In 0.678 0.372 0.051
10 In 0.822 0.872 0.694
11 Au 0.022 0.750 0.272
12 Au 0.108 0.379 0.487
13 Au 0.250 0.750 0.500
14 Au 0.392 0.879 0.271
15 Au 0.478 0.750 0.728
16 Au 0.522 0.250 0.272
17 Au 0.608 0.121 0.729
18 Au 0.750 0.250 0.500
19 Au 0.892 0.621 0.513
20 Au 0.978 0.250 0.728

=====

[19]
An optimized crystal structure of CrSbMo, computed with PBE.

energy relative to the elements, uncorrected	231	meV per atom

Unit cell a=4.264 b=4.264 c=4.264 alpha=60.00 beta=60.00 gamma=60.00
Positions (direct):
1 Cr 0.000 0.000 0.000
2 Sb 0.250 0.250 0.250
3 Mo 0.750 0.750 0.750

=====

[20]
An optimized crystal structure of LiReAg2, computed with PBE.

energy of formation from the pure elements	0.334	eV per atom

Unit cell a=2.690 b=2.690 c=9.344 alpha=90.00 beta=90.00 gamma=108.33
Positions (direct):
1 Li 0.000 0.000 0.000
2 Re 0.000 0.000 0.500
3 Ag 0.500 0.500 0.241
4 Ag 0.500 0.500 0.759

=====

[21]
An optimized crystal structure of ReSn2HIr, computed with PBE.

Unit cell a=5.092 b=5.092 c=5.020 alpha=90.00 beta=90.00 gamma=90.00
Positions (direct):
1 Re 0.000 0.000 0.000
2 Sn 0.000 0.500 0.500
3 Sn 0.500 0.000 0.500
4 H 0.500 0.500 0.000
5 Ir 0.000 0.000 0.500

=====

[22]
An optimized crystal structure of InGa2AuI, computed with PBE.

energy relative to the elements, uncorrected	-160	meV per atom

Unit cell a=5.134 b=5.134 c=5.553 alpha=90.00 beta=90.00 gamma=90.00
Positions (direct):
1 In 0.000 0.000 0.000
2 Ga 0.000 0.500 0.500
3 Ga 0.500 0.000 0.500
4 Au 0.000 0.000 0.500
5 I 0.500 0.500 0.000

=====

[23]
An optimized crystal structure of Ca2SnS4, computed with PBE.

energy relative to the elements, uncorrected	-1252	meV per atom

Unit cell a=7.084 b=7.084 c=7.232 alpha=118.05 beta=118.05 gamma=32.41
Positions (direct):
1 Ca 0.206 0.206 0.187
2 Ca 0.794 0.794 0.813
3 Sn 0.500 0.500 0.500
4 S 0.137 0.137 0.503
5 S 0.392 0.392 0.107
6 S 0.608 0.608 0.893
7 S 0.863 0.863 0.497

=====

[24]
An optimized crystal structure of Li2Al3Ag5, computed with PBE.

energy of formation from the pure elements	-0.079	eV per atom

Unit cell a=5.184 b=5.184 c=8.612 alpha=91.11 beta=91.11 gamma=50.30
Positions (direct):
1 Li 0.049 0.049 0.229
2 Li 0.951 0.951 0.771
3 Al 0.220 0.220 0.915
4 Al 0.500 0.500 0.500
5 Al 0.780 0.780 0.085
6 Ag 0.161 0.161 0.543
7 Ag 0.328 0.328 0.250
8 Ag 0.500 0.500 0.000
9 Ag 0.672 0.672 0.750
10 Ag 0.839 0.839 0.457

=====

[25]
An optimized crystal structure of BaReCl2, computed with PBE.

energy relative to the elements, uncorrected	222	meV per atom

Unit cell a=8.209 b=8.209 c=8.209 alpha=28.15 beta=28.15 gamma=28.15
Positions (direct):
1 Ba 0.000 0.000 0.000
2 Re 0.500 0.500 0.500
3 Cl 0.127 0.127 0.127
4 Cl 0.873 0.873 0.873

=====

| no. | uncorrected energy (eV per cell) |
| --- | --- |
| 1 | -16.3 |
| 2 | -56.2 |
| 3 | -24.6 |
| 4 | -69.4 |
| 5 | -107.6 |
| 6 | -99.9 |
| 7 | -66.6 |
| 8 | -19.3 |
| 9 | -43.1 |
| 10 | -44.3 |
| 11 | -32.6 |
| 12 | -79.5 |
| 13 | -14.0 |
| 14 | -5.3 |
| 15 | -31.6 |
| 16 | -32.5 |
| 17 | -22.2 |
| 18 | -50.1 |
| 19 | -23.9 |
| 20 | -18.7 |
| 21 | -25.5 |
| 22 | -14.4 |
| 23 | -33.3 |
| 24 | -30.1 |
| 25 | -17.2 |